(1)
## Nd2Dy3ThAs6 (PBE)

Data for a relaxed Nd2Dy3ThAs6 crystal.

Values from the calculation:
Calculated volume, Å³/atom: 26.1
Space-group type: C2/m
Calculated formation energy, kJ/mol of formula units: -1759
Magnetic moment, μB per formula unit: 0.0
VASP energy, eV per formula unit: -76.89

```
12
Lattice="9.125 -2.100 0.000 9.125 2.100 0.000 -1.895 0.000 8.167" Properties=species:S:1:pos:R:3 pbc="T T T"
Nd 2.422 0.000 2.743
Nd 13.933 0.000 5.424
Dy 1.484 0.000 6.797
Dy 8.178 0.000 4.083
Dy 14.871 0.000 1.370
Th 9.125 0.000 0.000
As -1.377 0.000 6.102
As 4.320 0.000 7.536
As 5.348 0.000 3.357
As 11.008 0.000 4.810
As 12.035 0.000 0.631
As 17.732 0.000 2.065
```



(2)
## NdDyTh2As4 (PBE)

Data for a relaxed NdDyTh2As4 crystal.

Values from the calculation:
Calculated volume, Å³/atom: 26.7
Space-group type: P2/m
Calculated formation energy, kJ/mol of formula units: -1132
Magnetic moment, μB per formula unit: 0.0
VASP energy, eV per formula unit: -54.54

```
8
Lattice="7.296 0.000 0.000 0.000 4.235 0.000 -2.466 0.000 6.909" Properties=species:S:1:pos:R:3 pbc="T T T"
Nd 0.000 0.000 0.000
Dy -1.233 2.118 3.455
Th 2.415 0.000 3.455
Th 3.648 2.118 0.000
As -0.041 0.000 5.144
As 1.194 2.118 1.753
As 3.635 2.118 5.156
As 4.870 0.000 1.765
```



(3)
## NdDy2TmAs4 (PBE)

Data for a relaxed NdDy2TmAs4 crystal.

Values from the calculation:
Calculated volume, Å³/atom: 25.2
Space-group type: P2/m
Calculated formation energy, kJ/mol of formula units: -1167
Magnetic moment, μB per formula unit: 0.0
VASP energy, eV per formula unit: -49.13

```
8
Lattice="7.177 0.000 0.000 0.000 4.148 0.000 -2.393 0.000 6.769" Properties=species:S:1:pos:R:3 pbc="T T T"
Nd 0.000 0.000 0.000
Dy -1.197 2.074 3.384
Dy 2.392 0.000 3.384
Tm 3.589 2.074 0.000
As 0.041 0.000 5.072
As 1.238 2.074 1.727
As 3.546 2.074 5.042
As 4.743 0.000 1.697
```



(4)
## Nd2DyTmAs4 (PBE)

Data for a relaxed Nd2DyTmAs4 crystal.

Values from the calculation:
Calculated volume, Å³/atom: 25.9
Space-group type: P2/m
Calculated formation energy, kJ/mol of formula units: -1164
Magnetic moment, μB per formula unit: 0.0
VASP energy, eV per formula unit: -49.27

```
8
Lattice="7.240 0.000 0.000 0.000 4.186 0.000 -2.417 0.000 6.831" Properties=species:S:1:pos:R:3 pbc="T T T"
Nd 0.000 0.000 0.000
Nd -1.208 2.093 3.416
Dy 2.411 0.000 3.416
Tm 3.620 2.093 0.000
As 1.277 2.093 1.721
As 0.069 0.000 5.161
As 4.753 0.000 1.670
As 3.546 2.093 5.110
```



(5)
## Nd2DyUAs4 (PBE)

Data for a relaxed Nd2DyUAs4 crystal.

Values from the calculation:
Calculated volume, Å³/atom: 25.8
Space-group type: P2/m
Calculated formation energy, kJ/mol of formula units: -1018
Magnetic moment, μB per formula unit: 2.3
VASP energy, eV per formula unit: -54.57

```
8
Lattice="7.241 0.000 0.000 0.000 4.167 0.000 -2.378 0.000 6.850" Properties=species:S:1:pos:R:3 pbc="T T T"
Nd 0.000 0.000 0.000
Nd 3.620 2.084 0.000
Dy -1.189 2.084 3.425
U 2.431 0.000 3.425
As 0.059 0.000 5.047
As 1.231 2.084 1.802
As 3.632 2.084 5.048
As 4.804 0.000 1.803
```



(6)
## NdDy2UAs4 (PBE)

Data for a relaxed NdDy2UAs4 crystal.

Values from the calculation:
Calculated volume, Å³/atom: 25.2
Space-group type: P2/m
Calculated formation energy, kJ/mol of formula units: -1017
Magnetic moment, μB per formula unit: 2.4
VASP energy, eV per formula unit: -54.40

```
8
Lattice="7.181 0.000 0.000 0.000 4.133 0.000 -2.361 0.000 6.784" Properties=species:S:1:pos:R:3 pbc="T T T"
Nd 0.000 0.000 0.000
Dy 2.410 0.000 3.392
Dy 3.590 2.067 0.000
U -1.180 2.067 3.392
As 0.046 0.000 5.050
As 1.205 2.067 1.763
As 3.615 2.067 5.021
As 4.774 0.000 1.734
```



(7)
## NdDyY2As4 (PBE)

Data for a relaxed NdDyY2As4 crystal.

Values from the calculation:
Calculated volume, Å³/atom: 25.5
Space-group type: P2/m
Calculated formation energy, kJ/mol of formula units: -1184
Magnetic moment, μB per formula unit: 0.0
VASP energy, eV per formula unit: -53.17

```
8
Lattice="7.205 0.000 0.000 0.000 4.163 0.000 -2.402 0.000 6.794" Properties=species:S:1:pos:R:3 pbc="T T T"
Nd 0.000 0.000 0.000
Dy -1.201 2.082 3.397
Y 2.401 0.000 3.397
Y 3.603 2.082 0.000
As 0.025 0.000 5.073
As 1.226 2.082 1.740
As 3.577 2.082 5.054
As 4.777 0.000 1.721
```



(8)
## NdDy3Y2As6 (PBE)

Data for a relaxed NdDy3Y2As6 crystal.

Values from the calculation:
Calculated volume, Å³/atom: 25.2
Space-group type: C2/m
Calculated formation energy, kJ/mol of formula units: -1776
Magnetic moment, μB per formula unit: 0.0
VASP energy, eV per formula unit: -77.81

```
12
Lattice="3.592 -6.220 0.000 3.592 6.220 0.000 -2.393 0.000 6.773" Properties=species:S:1:pos:R:3 pbc="T T T"
Nd 0.000 0.000 0.000
Dy 2.395 4.161 3.387
Dy 2.395 0.000 3.387
Dy 2.395 -4.161 3.387
Y 3.592 2.077 0.000
Y 3.592 -2.077 0.000
As 1.215 2.102 1.720
As 0.035 0.000 5.059
As 1.215 -2.102 1.720
As 3.576 2.102 5.054
As 4.755 0.000 1.714
As 3.576 -2.102 5.054
```



(9)
## NdDy2ZrAs4 (PBE)

Data for a relaxed NdDy2ZrAs4 crystal.

Values from the calculation:
Calculated volume, Å³/atom: 24.1
Space-group type: P2/m
Calculated formation energy, kJ/mol of formula units: -1084
Magnetic moment, μB per formula unit: 0.0
VASP energy, eV per formula unit: -52.36

```
8
Lattice="7.068 0.000 0.000 0.000 4.086 0.000 -2.339 0.000 6.686" Properties=species:S:1:pos:R:3 pbc="T T T"
Nd 0.000 0.000 0.000
Dy 2.364 0.000 3.343
Dy 3.534 2.043 0.000
Zr -1.169 2.043 3.343
As -0.005 0.000 4.925
As 1.160 2.043 1.753
As 3.569 2.043 4.933
As 4.734 0.000 1.761
```



(10)
## DyNi12As6 (PBE)

Data for a relaxed DyNi12As6 crystal.

Values from the calculation:
Calculated volume, Å³/atom: 14.0
Space-group type: R-3m
Calculated formation energy, kJ/mol of formula units: -427
Magnetic moment, μB per formula unit: 0.0
VASP energy, eV per formula unit: -106.30

```
19
Lattice="5.345 3.086 2.679 -5.345 3.086 2.679 0.000 -6.172 2.679" Properties=species:S:1:pos:R:3 pbc="T T T"
Dy 0.000 0.000 0.000
Ni -2.023 -3.504 4.019
Ni -4.046 0.000 4.019
Ni -1.340 -0.774 2.707
Ni 1.340 -0.774 2.707
Ni 0.000 1.547 2.707
Ni 2.023 -3.504 4.019
Ni -2.023 3.504 4.019
Ni 0.000 -1.547 5.330
Ni -1.340 0.774 5.330
Ni 1.340 0.774 5.330
Ni 4.046 0.000 4.019
Ni 2.023 3.504 4.019
As 0.000 -2.736 3.216
As -2.370 1.368 3.216
As -2.370 -1.368 4.821
As 2.370 1.368 3.216
As 2.370 -1.368 4.821
As 0.000 2.736 4.821
```



(11)
## Dy2Ni5As4 (PBE)

Data for a relaxed Dy2Ni5As4 crystal.

Values from the calculation:
Calculated volume, Å³/atom: 16.1
Space-group type: Fmmm
Calculated formation energy, kJ/mol of formula units: -623
Magnetic moment, μB per formula unit: 0.0
VASP energy, eV per formula unit: -63.17

```
11
Lattice="0.000 4.733 6.930 2.703 0.000 6.930 2.703 4.733 0.000" Properties=species:S:1:pos:R:3 pbc="T T T"
Dy 2.703 4.733 1.941
Dy 2.703 4.733 11.920
Ni 1.352 2.367 0.000
Ni 1.352 2.367 3.465
Ni 1.352 2.367 6.930
Ni 2.703 4.733 6.930
Ni 4.055 7.100 10.396
As 2.703 3.278 5.123
As 2.703 3.278 8.737
As 2.703 6.189 5.123
As 2.703 6.189 8.737
```



(12)
## DyNiAs (PBE)

Data for a relaxed DyNiAs crystal.

Values from the calculation:
Calculated volume, Å³/atom: 18.3
Space-group type: P6_3/mmc
Calculated formation energy, kJ/mol of formula units: -305
Magnetic moment, μB per formula unit: 0.0
VASP energy, eV per formula unit: -18.20

```
6
Lattice="4.054 0.000 0.000 -2.027 3.511 0.000 0.000 0.000 7.735" Properties=species:S:1:pos:R:3 pbc="T T T"
Dy 0.000 0.000 0.000
Dy 0.000 0.000 3.867
Ni 0.000 2.340 1.934
Ni 2.027 1.170 5.801
As 0.000 2.340 5.801
As 2.027 1.170 1.934
```